# Ho4ErSc, relaxed, DFT PBE
# Formation energy from the elements: 0.037 eV per atom
# E above lowest polymorph: 0.0 kJ/mol of atoms
# SG: C2/m, No. 12
# DOS(E_F): 8.8 states/eV/f.u.
# Volume: 178.4 Å³/cell
data_Ho4ErSc
_chemical_formula_sum 'Ho4 Er1 Sc1'
_cell_length_a 6.0210
_cell_length_b 6.0210
_cell_length_c 6.0223
_cell_angle_alpha 99.62
_cell_angle_beta 99.62
_cell_angle_gamma 119.90
_symmetry_space_group_name_H-M 'P 1'
_symmetry_Int_Tables_number 1
loop_
_symmetry_equiv_pos_as_xyz
'x,y,z'
loop_
_atom_site_label
_atom_site_type_symbol
_atom_site_fract_x
_atom_site_fract_y
_atom_site_fract_z
_atom_site_occupancy
Ho1 Ho 0.1647 0.8353 0.0000 1
Ho2 Ho 0.3334 0.6666 0.5000 1
Ho3 Ho 0.6666 0.3334 0.5000 1
Ho4 Ho 0.8353 0.1647 0.0000 1
Er1 Er 0.5000 0.5000 0.0000 1
Sc1 Sc 0.0000 0.0000 0.5000 1

# NaS2Br, relaxed, DFT PBE
# E above lowest polymorph: 36.6 kJ/mol of atoms
# SG: Fm-3m, No. 225
# DOS(E_F): 6.1 states/eV/f.u.
# Volume: 87.5 Å³/cell
# E_form (uncorrected): 11.076 kcal/mol of atoms
data_NaS2Br
_chemical_formula_sum 'Na1 S2 Br1'
_cell_length_a 4.9839
_cell_length_b 4.9839
_cell_length_c 4.9839
_cell_angle_alpha 60.00
_cell_angle_beta 60.00
_cell_angle_gamma 60.00
_symmetry_space_group_name_H-M 'P 1'
_symmetry_Int_Tables_number 1
loop_
_symmetry_equiv_pos_as_xyz
'x,y,z'
loop_
_atom_site_label
_atom_site_type_symbol
_atom_site_fract_x
_atom_site_fract_y
_atom_site_fract_z
_atom_site_occupancy
Na1 Na 0.0000 0.0000 0.0000 1
S1 S 0.2500 0.2500 0.2500 1
S2 S 0.7500 0.7500 0.7500 1
Br1 Br 0.5000 0.5000 0.5000 1

> What is the E above lowest polymorph in the second record?

36.6 kJ/mol of atoms

> Which formula does entry 1 have?

Ho4ErSc

Copy entry 2 word for word.
# NaS2Br, relaxed, DFT PBE
# E above lowest polymorph: 36.6 kJ/mol of atoms
# SG: Fm-3m, No. 225
# DOS(E_F): 6.1 states/eV/f.u.
# Volume: 87.5 Å³/cell
# E_form (uncorrected): 11.076 kcal/mol of atoms
data_NaS2Br
_chemical_formula_sum 'Na1 S2 Br1'
_cell_length_a 4.9839
_cell_length_b 4.9839
_cell_length_c 4.9839
_cell_angle_alpha 60.00
_cell_angle_beta 60.00
_cell_angle_gamma 60.00
_symmetry_space_group_name_H-M 'P 1'
_symmetry_Int_Tables_number 1
loop_
_symmetry_equiv_pos_as_xyz
'x,y,z'
loop_
_atom_site_label
_atom_site_type_symbol
_atom_site_fract_x
_atom_site_fract_y
_atom_site_fract_z
_atom_site_occupancy
Na1 Na 0.0000 0.0000 0.0000 1
S1 S 0.2500 0.2500 0.2500 1
S2 S 0.7500 0.7500 0.7500 1
Br1 Br 0.5000 0.5000 0.5000 1